Density functional theory data (PBE-GGA) for a geometry-optimized EuTlInAg structure.

```
4
Lattice="-0.086 -5.155 1.016 2.827 -3.306 -2.947 4.242 -2.351 2.022" Properties=species:S:1:pos:R:3 pbc="T T T"
In 3.491 -5.406 0.045
Eu 0.000 0.000 0.000
Tl 5.237 -8.109 0.067
Ag 1.746 -2.703 0.022
```

**SG**: F-43m
**D(E_F)**: 7.355 states/eV/cell
**Volume**: 25.64 Å³ per atom
**DFT formation energy**: -0.268 eV per atom